Density functional theory data (PBE) for an optimized crystal structure of Pu2Zn3Ga5.

Unit cell a=4.225 b=4.225 c=10.684 alpha=90.00 beta=90.00 gamma=90.00
Last column: magnetic moment on the atom in μB.
Fractional positions:
Pu: 0.500 0.000 0.249  -5.36
Pu: 0.000 0.500 0.751  -5.36
Zn: 0.500 0.000 0.630  0.01
Zn: 0.000 0.500 0.370  0.01
Zn: 0.000 0.000 0.500  0.01
Ga: 0.500 0.500 0.000  0.02
Ga: 0.000 0.000 0.000  0.02
Ga: 0.500 0.000 0.856  0.03
Ga: 0.000 0.500 0.144  0.03
Ga: 0.500 0.500 0.500  0.02

- distance to the lowest polymorph of the same formula (meV/atom) = 19.6
- spin magnetization (μB/atom) = 1.125
- energy of formation (eV per atom) = -0.25
- VASP energy (eV per cell) = -50.104